1.
Below is Sc2TlPb2 after structural relaxation, with properties calculated at the PBE level.

Properties
mass density: 8.73 g/cm3
magnetic moment: 0.0 μB/f.u.
E: -46.7 eV/cell
distance to the lowest polymorph of the same formula: 37.1 meV per atom

abc: 8.940 8.940 3.374
angles: 90.00 90.00 90.00
Sites, in units of the cell vectors:
1 Pb 0.341 0.841 0.000
2 Pb 0.841 0.659 0.000
3 Pb 0.659 0.159 0.000
4 Pb 0.159 0.341 0.000
5 Sc 0.138 0.638 0.500
6 Sc 0.638 0.862 0.500
7 Sc 0.862 0.362 0.500
8 Sc 0.362 0.138 0.500
9 Tl 0.000 0.000 0.000
10 Tl 0.500 0.500 0.000

---

2.
Below is ScTlPb2 after structural relaxation, with properties calculated at the PBE level.

Properties
mass density: 9.41 g/cm3
magnetic moment: 0.0 μB/f.u.
E: -31.4 eV/cell

abc: 8.589 8.589 6.854
angles: 51.20 51.20 90.00
Sites, in units of the cell vectors:
1 Pb 0.615 0.125 0.250
2 Pb 0.135 0.625 0.250
3 Pb 0.375 0.385 0.750
4 Pb 0.875 0.865 0.750
5 Sc 0.500 0.500 0.000
6 Sc 0.250 0.750 0.500
7 Tl 0.000 0.000 0.000
8 Tl 0.750 0.250 0.500

---

3.
Below is ScTlPb after structural relaxation, with properties calculated at the PBE level.

Properties
mass density: 9.47 g/cm3
magnetic moment: 0.0 μB/f.u.
E: -12.6 eV/cell
distance to the lowest polymorph of the same formula: 134.7 meV per atom

abc: 5.138 5.138 3.500
angles: 90.00 90.00 120.00
Sites, in units of the cell vectors:
1 Pb 0.000 0.000 0.998
2 Sc 0.667 0.333 0.357
3 Tl 0.333 0.667 0.646

---

> Which value of E does entry 3 give?

-12.6 eV/cell

---

> What is the formula in the third record?

ScTlPb

---

> Number 1 is which compound?

Sc2TlPb2